The following is a DFT calculation (PBE-GGA) of crystalline TaAl2F at its relaxed geometry.

Geometry as POSCAR:
```
TaAl2F
1.0
-1.150 -2.402 3.676
-4.374 -0.809 0.906
-1.675 -4.194 -0.461
F Al Ta
1 2 1
direct
0.000 0.000 0.000
0.250 0.250 0.250
0.750 0.750 0.750
0.500 0.500 0.500
```

Properties
The value obtained for the uncorrected energy is -21.06 eV/cell. Its crystal system is cubic. The value obtained for the energy relative to the elements, uncorrected is 0.15 eV/f.u. For the density, the calculation gives 6.4 Mg/m³.